Entry 1:
Below is crystalline ZrSbW at its relaxed geometry, with properties calculated at the PBE-GGA level.

Calculated values
ΔE_f (raw) = 134 meV per atom
Energy relative to the lowest polymorph listed for this composition = 52.9 meV/atom
Fermi-level density of states = 2.071 states/eV/f.u.

Lattice parameters (Å, degrees): 4.8485 4.8485 2.9609 90.00 90.00 120.00
Closest atoms and distances in Å follow each position.
Fractional positions:
Zr 0.0000 0.0000 0.0000  2 Zr 2.96, 6 W 3.16-3.17, 6 Sb 3.16-3.17
Sb 0.6667 0.3333 0.5032  3 W 2.80, 2 Sb 2.96
W 0.3333 0.6667 0.5046  3 Sb 2.80, 2 W 2.96


Entry 2:
Below is crystalline Tb2Pm4NdDy at its relaxed geometry, with properties calculated at the PBE-GGA level.

Calculated values
Formation energy from the elements = 0.016 eV/atom
Fermi-level density of states = 11.414 states/eV/f.u.

Lattice parameters (Å, degrees): 6.2587 3.6260 11.9890 90.00 100.21 90.00
Closest atoms and distances in Å follow each position.
Fractional positions:
Tb 0.0000 0.0000 0.0000  4 Nd 3.62, 2 Tb 3.63, 6 Pm 3.63-3.64
Tb 0.0000 0.5000 0.5000  6 Pm 3.59-3.60, 4 Dy 3.62, 2 Tb 3.63
Pm 0.2489 0.0000 0.7477  3 Tb 3.59-3.64, 1 Dy 3.60, 6 Pm 3.61-3.63, 2 Nd 3.64
Pm 0.2502 0.5000 0.2516  2 Dy 3.60, 3 Tb 3.60-3.63, 6 Pm 3.61-3.63, 1 Nd 3.63
Pm 0.7498 0.5000 0.7484  2 Dy 3.60, 3 Tb 3.60-3.63, 6 Pm 3.61-3.63, 1 Nd 3.63
Pm 0.7511 0.0000 0.2523  3 Tb 3.59-3.64, 1 Dy 3.60, 6 Pm 3.61-3.63, 2 Nd 3.64
Nd 0.5000 0.5000 0.0000  4 Tb 3.62, 2 Nd 3.63, 6 Pm 3.63-3.64
Dy 0.5000 0.0000 0.5000  6 Pm 3.60, 4 Tb 3.62, 2 Dy 3.63


Entry 3:
Below is crystalline FeP2AuCl at its relaxed geometry, with properties calculated at the PBE-GGA level.

Calculated values
ΔE_f (raw) = 467 meV per atom
Energy relative to the lowest polymorph listed for this composition = 0.0 meV/atom
Fermi-level density of states = 2.082 states/eV/f.u.

Lattice parameters (Å, degrees): 4.2886 4.2886 4.8825 90.00 90.00 90.00
Closest atoms and distances in Å follow each position.
Fractional positions:
Fe 0.0000 0.0000 0.0000  4 P 2.14
P 0.0000 0.5000 0.0000  2 Fe 2.14
P 0.5000 0.0000 0.0000  2 Fe 2.14
Au 0.5000 0.5000 0.5000  4 Cl 3.03, 8 P 3.25
Cl 0.0000 0.0000 0.5000  2 Fe 2.44


Entry 4:
Below is crystalline MnAs2PBr at its relaxed geometry, with properties calculated at the PBE-GGA level.

Calculated values
ΔE_f (raw) = 766 meV per atom
Energy relative to the lowest polymorph listed for this composition = 44.6 meV/atom
Fermi-level density of states = 3.544 states/eV/f.u.

Lattice parameters (Å, degrees): 4.7897 4.7897 5.0561 90.00 90.00 90.00
Closest atoms and distances in Å follow each position.
Fractional positions:
Mn 0.0000 0.0000 0.0000  4 Br 3.39, 8 As 3.48
As 0.0000 0.5000 0.5000  2 P 2.39
As 0.5000 0.0000 0.5000  2 P 2.39
P 0.5000 0.5000 0.5000  4 As 2.39, 2 Br 2.53
Br 0.5000 0.5000 0.0000  2 P 2.53


Entry 5:
Below is crystalline MgNbAg3 at its relaxed geometry, with properties calculated at the PBE-GGA level.

Calculated values
Formation energy from the elements = 1.227 eV/atom
Energy relative to the lowest polymorph listed for this composition = 219.4 meV/atom
Fermi-level density of states = 3.832 states/eV/f.u.

Lattice parameters (Å, degrees): 5.1610 5.1610 5.1610 90.00 90.00 90.00
Closest atoms and distances in Å follow each position.
Fractional positions:
Mg 0.0000 0.0000 0.0000  12 Ag 3.65
Nb 0.5000 0.5000 0.5000  6 Ag 2.58
Ag 0.0000 0.5000 0.5000  2 Nb 2.58
Ag 0.5000 0.0000 0.5000  2 Nb 2.58
Ag 0.5000 0.5000 0.0000  2 Nb 2.58


Entry 6:
Below is crystalline Na2TaCuTe4 at its relaxed geometry, with properties calculated at the PBE-GGA level.

Calculated values
ΔE_f (raw) = -410 meV per atom

Lattice parameters (Å, degrees): 6.7917 6.7917 6.7917 103.66 103.66 121.84
Closest atoms and distances in Å follow each position.
Fractional positions:
Na 0.0000 0.5000 0.5000  2 Na 3.30, 8 Te 3.51
Na 0.5000 0.0000 0.5000  2 Na 3.30, 8 Te 3.51
Ta 0.0000 0.0000 0.0000  4 Te 2.65
Cu 0.5000 0.5000 0.0000  4 Te 2.65
Te 0.0749 0.0749 0.6499  1 Ta 2.65, 1 Cu 2.65
Te 0.4250 0.4250 0.3501  1 Ta 2.65, 1 Cu 2.65
Te 0.5750 0.9251 0.0000  1 Ta 2.65, 1 Cu 2.65
Te 0.9251 0.5750 0.0000  1 Ta 2.65, 1 Cu 2.65


- Which formula does entry 6 have?
  Na2TaCuTe4